LiAcV2O6 | Alexandria via LeMat-Bulk | GGA+U | relaxed; DFT total energy = -74.33 eV for the cell shown; total magnetic moment = 2.00 μB per formula unit
1.0
5.174 0.000 0.000
2.587 4.480 0.000
2.587 1.493 5.981
Li O Ac V
1 6 1 2
Cartesian
5.174 2.987 2.990
4.257 1.351 1.908
3.298 2.963 4.073
7.049 3.011 1.908
6.090 4.623 4.073
6.132 1.375 4.073
4.215 4.599 1.908
0.000 0.000 0.000
7.760 4.480 3.206
2.587 1.493 2.775